1.
## GdGa2Ru (PBE)

Data for a relaxed structure of GdGa2Ru.

a b c (Å): 3.209 3.209 7.008
angles (deg): 90.00 90.00 90.00
Space group P4/mmm (No. 123)
Inequivalent atoms, fractional coordinates:
Gd 0.000 0.000 0.000 (multiplicity 1)
Ga 0.500 0.500 0.305 (multiplicity 2)
Ru 0.000 0.000 0.500 (multiplicity 1)

Summary:
* formation energy: -0.4471 eV per atom
* VASP energy: -31.199 eV for the cell shown

2.
## GdGa3Ru (PBE)

Data for a relaxed structure of GdGa3Ru.

a b c (Å): 6.461 6.461 6.461
angles (deg): 90.00 90.00 90.00
Space group Pm-3m (No. 221)
Inequivalent atoms, fractional coordinates:
Gd 0.000 0.000 0.500 (multiplicity 3)
Ga 0.000 0.000 0.000 (multiplicity 1)
Ga 0.290 0.290 0.290 (multiplicity 8)
Ru 0.000 0.500 0.500 (multiplicity 3)

Summary:
* formation energy: -0.5795 eV per atom
* VASP energy: -106.005 eV for the cell shown

3.
## GdScGaRu (PBE)

Data for a relaxed structure of GdScGaRu.

a b c (Å): 6.815 6.815 6.815
angles (deg): 90.00 90.00 90.00
Space group F-43m (No. 216)
Inequivalent atoms, fractional coordinates:
Gd 0.000 0.000 0.000 (multiplicity 4)
Sc 0.000 0.000 0.500 (multiplicity 4)
Ga 0.250 0.250 0.250 (multiplicity 4)
Ru 0.250 0.250 0.750 (multiplicity 4)

Summary:
* formation energy: -0.4604 eV per atom
* VASP energy: -138.227 eV for the cell shown

4.
## SmGdGaRu (PBE)

Data for a relaxed structure of SmGdGaRu.

a b c (Å): 7.087 7.087 7.087
angles (deg): 90.00 90.00 90.00
Space group F-43m (No. 216)
Inequivalent atoms, fractional coordinates:
Sm 0.000 0.000 0.000 (multiplicity 4)
Gd 0.000 0.000 0.500 (multiplicity 4)
Ga 0.250 0.250 0.250 (multiplicity 4)
Ru 0.250 0.250 0.750 (multiplicity 4)

Summary:
* formation energy: -0.3822 eV per atom
* VASP energy: -130.526 eV for the cell shown

5.
## GdThGaRu (PBE)

Data for a relaxed structure of GdThGaRu.

a b c (Å): 7.158 7.158 7.158
angles (deg): 90.00 90.00 90.00
Space group F-43m (No. 216)
Inequivalent atoms, fractional coordinates:
Gd 0.000 0.000 0.000 (multiplicity 4)
Th 0.000 0.000 0.500 (multiplicity 4)
Ga 0.250 0.250 0.250 (multiplicity 4)
Ru 0.250 0.250 0.750 (multiplicity 4)

Summary:
* formation energy: -0.3617 eV per atom
* VASP energy: -141.000 eV for the cell shown

6.
## GdYGaRu (PBE)

Data for a relaxed structure of GdYGaRu.

a b c (Å): 7.019 7.019 7.019
angles (deg): 90.00 90.00 90.00
Space group F-43m (No. 216)
Inequivalent atoms, fractional coordinates:
Gd 0.000 0.000 0.000 (multiplicity 4)
Y 0.000 0.000 0.500 (multiplicity 4)
Ga 0.250 0.250 0.750 (multiplicity 4)
Ru 0.250 0.250 0.250 (multiplicity 4)

Summary:
* formation energy: -0.4299 eV per atom
* VASP energy: -138.270 eV for the cell shown

7.
## Gd3Ga5S12 (PBE)

Data for a relaxed structure of Gd3Ga5S12.

a b c (Å): 15.124 15.124 15.124
angles (deg): 90.00 90.00 90.00
Space group Ia-3d (No. 230)
Inequivalent atoms, fractional coordinates:
Gd 0.000 0.250 0.125 (multiplicity 24)
Ga 0.000 0.000 0.000 (multiplicity 16)
Ga 0.000 0.250 0.375 (multiplicity 24)
S 0.027 0.059 0.650 (multiplicity 96)

Summary:
* VASP energy: -1041.490 eV for the cell shown

8.
## Gd2GaS (PBE)

Data for a relaxed structure of Gd2GaS.

a b c (Å): 3.9169 3.9169 21.8631
angles (deg): 90.00 90.00 120.00
Space group R-3m (No. 166, hexagonal axes)
Inequivalent atoms, fractional coordinates:
Gd 0.0000 0.0000 0.2434 (multiplicity 6)
Ga 0.0000 0.0000 0.0000 (multiplicity 3)
S 0.0000 0.0000 0.5000 (multiplicity 3)

Summary:
* VASP energy: -121.124 eV for the cell shown

9.
## GdGaS2 (PBE)

Data for a relaxed structure of GdGaS2.

a b c (Å): 3.6589 3.6589 24.2666
angles (deg): 90.00 90.00 120.00
Space group R-3m (No. 166, hexagonal axes)
Inequivalent atoms, fractional coordinates:
Gd 0.0000 0.0000 0.0000 (multiplicity 3)
Ga 0.0000 0.0000 0.5000 (multiplicity 3)
S 0.0000 0.0000 0.1112 (multiplicity 6)

Summary:
* VASP energy: -83.687 eV for the cell shown

10.
## GdGa2Sb (PBE)

Data for a relaxed structure of GdGa2Sb.

a b c (Å): 3.4368 3.4368 31.4995
angles (deg): 90.00 90.00 120.00
Space group R-3m (No. 166, hexagonal axes)
Inequivalent atoms, fractional coordinates:
Gd 0.0000 0.0000 0.0000 (multiplicity 3)
Ga 0.0000 0.0000 0.0945 (multiplicity 6)
Sb 0.0000 0.0000 0.5000 (multiplicity 3)

Summary:
* VASP energy: -70.665 eV for the cell shown
* excess energy over the best structure of this formula in the dataset: 68.94 kJ/mol of atoms

11.
## Gd2GaSb (PBE)

Data for a relaxed structure of Gd2GaSb.

a b c (Å): 7.464 7.464 7.464
angles (deg): 90.00 90.00 90.00
Space group Fm-3m (No. 225)
Inequivalent atoms, fractional coordinates:
Gd 0.250 0.250 0.250 (multiplicity 8)
Ga 0.000 0.000 0.000 (multiplicity 4)
Sb 0.000 0.000 0.500 (multiplicity 4)

Summary:
* VASP energy: -151.505 eV for the cell shown
* excess energy over the best structure of this formula in the dataset: 9.46 kJ/mol of atoms

12.
## GdGaSb2 (PBE)

Data for a relaxed structure of GdGaSb2.

a b c (Å): 4.746 4.746 4.461
angles (deg): 90.00 90.00 90.00
Space group P4/mmm (No. 123)
Inequivalent atoms, fractional coordinates:
Gd 0.000 0.000 0.000 (multiplicity 1)
Ga 0.500 0.500 0.000 (multiplicity 1)
Sb 0.000 0.500 0.500 (multiplicity 2)

Summary:
* VASP energy: -27.401 eV for the cell shown
* excess energy over the best structure of this formula in the dataset: 0.00 kJ/mol of atoms

- Which formula does entry 1 have?
  GdGa2Ru

Please write out number 2 again, unchanged.
## GdGa3Ru (PBE)

Data for a relaxed structure of GdGa3Ru.

a b c (Å): 6.461 6.461 6.461
angles (deg): 90.00 90.00 90.00
Space group Pm-3m (No. 221)
Inequivalent atoms, fractional coordinates:
Gd 0.000 0.000 0.500 (multiplicity 3)
Ga 0.000 0.000 0.000 (multiplicity 1)
Ga 0.290 0.290 0.290 (multiplicity 8)
Ru 0.000 0.500 0.500 (multiplicity 3)

Summary:
* formation energy: -0.5795 eV per atom
* VASP energy: -106.005 eV for the cell shown